# 1
Computed, not measured: Tb3Nd3Tl2 after structural relaxation at the PBE level of DFT.

abc: 4.892 4.923 9.974
angles: 90.00 90.00 90.00
Fractional positions:
Tb 0.000 0.000 0.000
Tb 0.000 0.500 0.249
Tb 0.000 0.500 0.751
Nd 0.000 0.000 0.500
Nd 0.500 0.500 0.000
Nd 0.500 0.500 0.500
Tl 0.500 0.000 0.247
Tl 0.500 0.000 0.753

Computed properties:
formation energy = -192 meV per atom
E above lowest polymorph = 0 meV per atom
symmetry = No. 47
spin magnetization = 0.07 μB per formula unit


# 2
Computed, not measured: Ce2Ge3Ir after structural relaxation at the PBE level of DFT.

abc: 8.493 8.410 5.936
angles: 70.19 68.70 41.11
Fractional positions:
Ce 0.243 0.757 0.757
Ce 0.250 0.250 0.250
Ce 0.750 0.750 0.750
Ce 0.757 0.243 0.243
Ge 0.167 0.665 0.335
Ge 0.331 0.331 0.669
Ge 0.335 0.833 0.167
Ge 0.665 0.167 0.833
Ge 0.669 0.669 0.331
Ge 0.833 0.335 0.665
Ir 0.164 0.164 0.836
Ir 0.836 0.836 0.164

Computed properties:
formation energy = -758 meV per atom
E above lowest polymorph = 0 meV per atom
symmetry = No. 69
spin magnetization = 1.22 μB per formula unit


# 3
Computed, not measured: SmErRe after structural relaxation at the PBE level of DFT.

abc: 17.261 3.054 6.012
angles: 90.00 110.03 90.00
Fractional positions:
Sm 0.061 0.000 0.315
Sm 0.439 0.500 0.685
Sm 0.561 0.500 0.315
Sm 0.939 0.000 0.685
Er 0.244 0.500 0.757
Er 0.256 0.000 0.243
Er 0.744 0.000 0.757
Er 0.756 0.500 0.243
Re 0.112 0.000 0.849
Re 0.388 0.500 0.151
Re 0.612 0.500 0.849
Re 0.888 0.000 0.151

Computed properties:
formation energy = 478 meV per atom
symmetry = No. 12
spin magnetization = 0.00 μB per formula unit


# 4
Computed, not measured: ZnFe3Ge after structural relaxation at the PBE level of DFT.

abc: 4.355 4.355 4.355
angles: 90.00 90.00 90.00
Fractional positions:
Zn 0.000 0.000 0.000
Fe 0.000 0.500 0.500
Fe 0.500 0.000 0.500
Fe 0.500 0.500 0.000
Ge 0.500 0.500 0.500

Computed properties:
formation energy = 883 meV per atom
E above lowest polymorph = 879 meV per atom
symmetry = No. 221
spin magnetization = 6.76 μB per formula unit


Question: spin magnetization of number 3 (SmErRe)?
Answer: 0.00 μB per formula unit


Question: What is the spin magnetization in the second record?
Answer: 1.22 μB per formula unit